Entry 1:
Below is crystalline PuGe2Pt2 at its relaxed geometry, with properties calculated at the PBE-GGA level.

Properties
Crystal system: tetragonal
Electronic total energy, eV/atom: -7.826
N(E_F), states/eV/f.u.: 14.550
Formation enthalpy at 0 K, meV/atom: -696

a = 4.368 Å, b = 4.368 Å, c = 10.037 Å
α = 90.00°, β = 90.00°, γ = 90.00°
Each line ends with the local moment (μB).
Sites, in units of the cell vectors:
1 Ge 0.000 0.000 0.500  -0.01
2 Pt 0.500 0.500 0.000  0.03
3 Ge 0.500 0.000 0.870  -0.01
4 Pt 0.500 0.000 0.626  -0.02
5 Pt 0.000 0.000 0.000  0.03
6 Pu 0.000 0.500 0.746  5.27
7 Pt 0.000 0.500 0.374  -0.02
8 Ge 0.500 0.500 0.500  -0.01
9 Ge 0.000 0.500 0.130  -0.01
10 Pu 0.500 0.000 0.254  5.27


Entry 2:
Below is crystalline PuGe3Pt2 at its relaxed geometry, with properties calculated at the PBE-GGA level.

Properties
Crystal system: orthorhombic
Electronic total energy, eV/atom: -7.234
N(E_F), states/eV/f.u.: 12.411
Formation enthalpy at 0 K, meV/atom: -523

a = 4.410 Å, b = 7.376 Å, c = 8.150 Å
α = 116.93°, β = 105.70°, γ = 90.00°
Each line ends with the local moment (μB).
Sites, in units of the cell vectors:
1 Ge 0.000 0.660 0.000  -0.01
2 Pt 0.805 0.305 0.610  0.01
3 Ge 0.000 0.340 0.000  -0.01
4 Pt 0.195 0.695 0.390  0.01
5 Pt 0.500 0.815 0.000  -0.04
6 Ge 0.672 0.467 0.345  0.00
7 Pu 0.865 0.865 0.730  5.18
8 Ge 0.328 0.123 0.656  0.00
9 Ge 0.328 0.533 0.655  0.00
10 Ge 0.672 0.877 0.344  0.00
11 Pu 0.135 0.135 0.270  5.18
12 Pt 0.500 0.185 0.000  -0.04


Entry 3:
Below is crystalline Pu3Ge3Pt2 at its relaxed geometry, with properties calculated at the PBE-GGA level.

Properties
Crystal system: orthorhombic
Electronic total energy, eV/atom: -9.281
N(E_F), states/eV/f.u.: 28.012
Formation enthalpy at 0 K, meV/atom: -665

a = 5.793 Å, b = 8.004 Å, c = 14.564 Å
α = 90.00°, β = 90.00°, γ = 90.00°
Each line ends with the local moment (μB).
Sites, in units of the cell vectors:
1 Ge 0.089 0.188 0.543  0.02
2 Ge 0.411 0.688 0.543  0.02
3 Ge 0.911 0.812 0.457  0.02
4 Pu 0.383 0.967 0.106  -5.20
5 Pu 0.117 0.467 0.106  -5.20
6 Pu 0.383 0.967 0.394  -5.20
7 Pu 0.619 0.328 0.250  5.08
8 Pt 0.377 0.394 0.609  -0.01
9 Pu 0.617 0.033 0.894  -5.20
10 Ge 0.589 0.312 0.043  0.02
11 Ge 0.089 0.188 0.957  0.02
12 Pu 0.381 0.672 0.750  5.08
13 Ge 0.629 0.315 0.750  0.01
14 Pu 0.119 0.172 0.750  5.08
15 Ge 0.371 0.685 0.250  0.01
16 Pt 0.123 0.894 0.891  -0.01
17 Pt 0.877 0.106 0.391  -0.01
18 Pt 0.623 0.606 0.391  -0.01
19 Pt 0.377 0.394 0.891  -0.01
20 Pt 0.623 0.606 0.109  -0.01
21 Ge 0.411 0.688 0.957  0.02
22 Pu 0.883 0.533 0.606  -5.20
23 Ge 0.871 0.815 0.750  0.01
24 Pu 0.881 0.828 0.250  5.08
25 Pt 0.123 0.894 0.609  -0.01
26 Pu 0.883 0.533 0.894  -5.20
27 Ge 0.589 0.312 0.457  0.02
28 Ge 0.911 0.812 0.043  0.02
29 Pu 0.117 0.467 0.394  -5.20
30 Ge 0.129 0.185 0.250  0.01
31 Pu 0.617 0.033 0.606  -5.20
32 Pt 0.877 0.106 0.109  -0.01


Entry 4:
Below is crystalline Pu4GePt at its relaxed geometry, with properties calculated at the PBE-GGA level.

Properties
Crystal system: monoclinic
Electronic total energy, eV/atom: -11.525
N(E_F), states/eV/f.u.: 16.884
Formation enthalpy at 0 K, meV/atom: -194

a = 2.874 Å, b = 5.061 Å, c = 9.430 Å
α = 77.94°, β = 81.23°, γ = 73.50°
Each line ends with the local moment (μB).
Sites, in units of the cell vectors:
1 Pu 0.822 0.028 0.327  -4.90
2 Pu 0.337 0.497 0.828  4.87
3 Ge 0.500 0.500 0.500  0.06
4 Pu 0.663 0.503 0.172  4.87
5 Pt 0.000 0.000 0.000  -0.02
6 Pu 0.178 0.972 0.673  -4.90